This record from Alexandria via LeMat-Bulk describes crystalline InTc2 at its relaxed geometry. The functional is PBE.

Unit cell a=3.0021 b=4.4674 c=16.1738 alpha=90.00 beta=90.00 gamma=90.00
With the nearest neighbours (Å) after each atom.
Space group Imma (No. 74)
One atom of each set of equivalent atoms:
In: 0.0000 0.2500 0.1321 x4  10 Tc 2.84-3.12, 2 In 3.00
Tc: 0.0000 0.2500 0.5351 x4  3 Tc 2.49-2.50
Tc: 0.0000 0.2500 0.6890 x4  3 Tc 2.48-2.49

Formation enthalpy at 0 K ... 496 meV/atom



This record from Alexandria via LeMat-Bulk describes crystalline LiCoAg2 at its relaxed geometry. The functional is PBE.

Unit cell a=2.7615 b=2.7615 c=8.0364 alpha=90.00 beta=90.00 gamma=90.00
With the nearest neighbours (Å) after each atom.
Space group P4mm (No. 99)
One atom of each set of equivalent atoms:
Li: 0.0000 0.0000 0.0000 x1  4 Co 2.67, 4 Li 2.76, 4 Ag 2.80
Co: 0.5000 0.5000 0.7729 x1  4 Li 2.67, 4 Ag 2.75, 4 Co 2.76
Ag: 0.0000 0.0000 0.5317 x1  4 Co 2.75, 8 Ag 2.76-2.99
Ag: 0.5000 0.5000 0.2505 x1  8 Ag 2.76-2.99, 4 Li 2.80

Formation enthalpy at 0 K ... 209 meV/atom



This record from Alexandria via LeMat-Bulk describes crystalline La2GaTeRu at its relaxed geometry. The functional is PBE.

Unit cell a=5.4656 b=5.4656 c=4.8161 alpha=90.00 beta=90.00 gamma=90.00
With the nearest neighbours (Å) after each atom.
Space group P4/mmm (No. 123)
One atom of each set of equivalent atoms:
La: 0.0000 0.5000 0.0000 x2  2 Ru 2.73
Ga: 0.0000 0.0000 0.5000 x1  2 Ru 2.41
Te: 0.5000 0.5000 0.5000 x1  8 La 3.64, 4 Ga 3.86
Ru: 0.0000 0.0000 0.0000 x1  2 Ga 2.41

Energy ... -29.3 eV for the cell shown



This record from Alexandria via LeMat-Bulk describes crystalline SrAcTeS at its relaxed geometry. The functional is PBE.

Unit cell a=4.4591 b=4.4591 c=22.6307 alpha=90.00 beta=90.00 gamma=120.00
With the nearest neighbours (Å) after each atom.
Space group R3m (No. 160, hexagonal axes)
One atom of each set of equivalent atoms:
Sr: 0.0000 0.0000 0.0000 x3  3 S 3.05, 3 Te 3.31
Ac: 0.0000 0.0000 0.4813 x3  3 S 3.09, 3 Te 3.33
Te: 0.0000 0.0000 0.2414 x3  3 Sr 3.31, 3 Ac 3.33
S: 0.0000 0.0000 0.7392 x3  3 Sr 3.05, 3 Ac 3.09

Energy ... -60.7 eV for the cell shown



This record from Alexandria via LeMat-Bulk describes crystalline TaCdSbO2 at its relaxed geometry. The functional is PBE.

Unit cell a=3.9901 b=3.9901 c=5.8902 alpha=90.00 beta=90.00 gamma=90.00
With the nearest neighbours (Å) after each atom.
Space group P4/mmm (No. 123)
One atom of each set of equivalent atoms:
Ta: 0.0000 0.0000 0.0000 x1  4 O 2.00
Cd: 0.5000 0.5000 0.5000 x1  4 Sb 2.82
Sb: 0.0000 0.0000 0.5000 x1  4 Cd 2.82, 2 Ta 2.95
O: 0.0000 0.5000 0.0000 x2  2 Ta 2.00

Energy ... -33.7 eV for the cell shown



This record from Alexandria via LeMat-Bulk describes crystalline Dy5Tl2Zn2 at its relaxed geometry. The functional is PBE.

Unit cell a=16.8799 b=7.5643 c=7.5417 alpha=90.00 beta=90.00 gamma=90.00
With the nearest neighbours (Å) after each atom.
Space group Cmce (No. 64)
One atom of each set of equivalent atoms:
Dy: 0.0000 0.0000 0.0000 x4  4 Zn 3.01-3.03
Dy: 0.1294 0.1871 0.3215 x16  3 Zn 3.05-3.21, 3 Tl 3.13-3.24
Tl: 0.2258 0.0000 0.0000 x8  6 Dy 3.13-3.24
Zn: 0.0000 0.1175 0.6192 x8  1 Zn 2.53

Formation enthalpy at 0 K ... -260 meV/atom



This record from Alexandria via LeMat-Bulk describes crystalline UPCl at its relaxed geometry. The functional is PBE.

Unit cell a=4.5057 b=4.5057 c=3.6114 alpha=90.00 beta=90.00 gamma=120.00
With the nearest neighbours (Å) after each atom.
Space group P3m1 (No. 156)
One atom of each set of equivalent atoms:
U: 0.0000 0.0000 0.0000 x1  3 Cl 2.61
P: 0.6667 0.3333 0.5284 x1  6 U 3.11-3.23, 6 Cl 3.11-3.23
Cl: 0.3333 0.6667 0.0563 x1  3 U 2.61

Energy ... -20.3 eV for the cell shown



This record from Alexandria via LeMat-Bulk describes crystalline Hg4AsI2Br at its relaxed geometry. The functional is PBE.

Unit cell a=11.8157 b=7.8392 c=8.1645 alpha=90.00 beta=90.00 gamma=90.00
With the nearest neighbours (Å) after each atom.
Space group Pmn2_1 (No. 31)
One atom of each set of equivalent atoms:
Hg: 0.0000 0.0618 0.0000 x2  1 Br 2.50, 1 As 2.52
Hg: 0.0000 0.7288 0.3635 x2  1 Br 3.31, 2 Hg 3.36, 1 As 3.48
Hg: 0.1538 0.3899 0.2463 x4  1 As 2.55, 1 I 2.70
As: 0.0000 0.1659 0.2923 x2  3 Hg 2.52-2.55
I: 0.1826 0.3796 0.6832 x4  1 Hg 2.70
Br: 0.0000 0.9197 0.7252 x2  1 Hg 2.50

Energy ... -24.3 eV for the cell shown



This record from Alexandria via LeMat-Bulk describes crystalline Ce6AgRu2 at its relaxed geometry. The functional is PBE.

Unit cell a=10.2127 b=4.9033 c=8.6584 alpha=90.00 beta=97.97 gamma=90.00
With the nearest neighbours (Å) after each atom.
Space group C2/m (No. 12)
One atom of each set of equivalent atoms:
Ce: 0.0504 0.0000 0.3604 x4  3 Ce 2.76-2.95, 3 Ru 2.97-3.04
Ce: 0.1108 0.5000 0.6770 x4  2 Ce 2.95, 3 Ru 3.00-3.03
Ce: 0.1947 0.5000 0.0977 x4  1 Ru 2.40
Ag: 0.0000 0.0000 0.0000 x2  8 Ce 3.09-3.34
Ru: 0.2279 0.5000 0.3777 x4  1 Ce 2.40

Formation enthalpy at 0 K ... -251 meV/atom



This record from Alexandria via LeMat-Bulk describes crystalline Tl2VTcAs at its relaxed geometry. The functional is PBE.

Unit cell a=5.3425 b=5.3425 c=4.6550 alpha=90.00 beta=90.00 gamma=90.00
With the nearest neighbours (Å) after each atom.
Space group P4/mmm (No. 123)
One atom of each set of equivalent atoms:
Tl: 0.0000 0.5000 0.0000 x2  2 Tc 2.67
V: 0.0000 0.0000 0.5000 x1  8 Tl 3.54, 4 As 3.78
Tc: 0.5000 0.5000 0.0000 x1  2 As 2.33
As: 0.5000 0.5000 0.5000 x1  2 Tc 2.33

Formation enthalpy at 0 K ... 1147 meV/atom



This record from Alexandria via LeMat-Bulk describes crystalline Cr2CdSe at its relaxed geometry. The functional is PBE.

Unit cell a=6.6643 b=6.6643 c=6.6643 alpha=90.00 beta=90.00 gamma=90.00
With the nearest neighbours (Å) after each atom.
Space group F-43m (No. 216)
One atom of each set of equivalent atoms:
Cr: 0.0000 0.0000 0.0000 x4  4 Cr 2.89, 4 Cd 2.89
Cr: 0.2500 0.2500 0.2500 x4  4 Cr 2.89, 4 Se 2.89
Cd: 0.2500 0.2500 0.7500 x4  4 Cr 2.89, 4 Se 2.89
Se: 0.0000 0.0000 0.5000 x4  4 Cd 2.89, 4 Cr 2.89

Energy ... -87.0 eV for the cell shown



This record from Alexandria via LeMat-Bulk describes crystalline Y4Tm2H at its relaxed geometry. The functional is PBE.

Unit cell a=4.8123 b=4.8123 c=17.1172 alpha=90.00 beta=90.00 gamma=90.00
With the nearest neighbours (Å) after each atom.
Space group I4/mmm (No. 139)
One atom of each set of equivalent atoms:
Y: 0.0000 0.0000 0.1516 x4  1 H 2.60
Y: 0.0000 0.5000 0.0000 x4  2 H 2.41
Tm: 0.0000 0.0000 0.3537 x4  9 Y 3.40-3.47
H: 0.0000 0.0000 0.0000 x2  6 Y 2.41-2.60

Energy ... -75.2 eV for the cell shown



What density of states at the Fermi level values result from the calculations? In sequence: 11.22 2.81 2.28 5.00 0.79 23.93 6.44 0.00 33.76 11.01 9.23 13.60 states/eV/cell.